## CaPrSi2 (PBE)

Data for CaPrSi2 after structural relaxation.

```
CaPrSi2
1.0
3.916 0.000 0.000
0.000 5.888 0.000
0.000 0.000 8.360
Ca Pr Si
2 2 4
Direct
0.500 0.361 0.321
0.500 0.639 0.821
0.000 0.142 0.680
0.000 0.858 0.180
0.000 0.634 0.534
0.000 0.366 0.034
0.500 0.872 0.465
0.500 0.128 0.965
```

* DOS(E_F): 0.69 states/eV per atom
* crystal system: orthorhombic
* SG: No. 26
* formation energy (no corrections): -0.63 eV/atom
* final energy: -5.034 eV/atom
* excess energy over the best structure of this formula in the dataset: 9 meV/atom